Entry 1:
This record from Alexandria via LeMat-Bulk describes an optimized crystal structure of NdYHg. The functional is PBE-GGA.

abc: 3.8759 5.1830 5.1830
angles: 120.00 90.00 90.00
Closest atoms and distances in Å follow each position.
Element x y z (fractional)
Y (0.1023, 0.0000, 0.0000)  3 Hg 3.06
Nd (0.6356, 0.6667, 0.3333)  3 Hg 3.32, 6 Y 3.50-3.64
Hg (0.2621, 0.3333, 0.6667)  3 Y 3.06, 3 Nd 3.32

Theoretical density, Mg/m³: 8.0
Polymorph energy (0 for the lowest one), meV/atom: 163
Crystal system: trigonal
Energy relative to the elements, meV per atom: -189

Entry 2:
This record from Alexandria via LeMat-Bulk describes an optimized crystal structure of La5Pm2Dy2. The functional is PBE-GGA.

abc: 6.3726 5.2057 16.7612
angles: 81.06 93.55 144.59
Closest atoms and distances in Å follow each position.
Element x y z (fractional)
La (0.4427, 0.8852, 0.1150)  1 Dy 3.60, 4 Pm 3.67-3.68, 7 La 3.69-3.78
La (0.5572, 0.1151, 0.8850)  1 Dy 3.60, 4 Pm 3.67-3.68, 7 La 3.69-3.78
La (0.2223, 0.4445, 0.5556)  1 Pm 3.59, 5 Dy 3.65-3.68, 6 La 3.67-3.69
La (0.7781, 0.5554, 0.4444)  1 Pm 3.59, 5 Dy 3.65-3.68, 6 La 3.67-3.69
La (0.9999, 0.0002, 0.0000)  10 La 3.69-3.71, 2 Pm 3.72
Pm (0.1124, 0.2251, 0.7741)  6 La 3.59-3.72, 4 Dy 3.64-3.65, 2 Pm 3.69
Pm (0.8874, 0.7747, 0.2260)  6 La 3.59-3.72, 4 Dy 3.64-3.65, 2 Pm 3.69
Dy (0.6667, 0.3332, 0.6664)  6 La 3.60-3.68, 4 Pm 3.64-3.65, 2 Dy 3.69
Dy (0.3333, 0.6665, 0.3336)  6 La 3.60-3.68, 4 Pm 3.64-3.65, 2 Dy 3.69

Theoretical density, Mg/m³: 6.9
Polymorph energy (0 for the lowest one), meV/atom: 0
Crystal system: triclinic
Energy relative to the elements, meV per atom: 23

Entry 3:
This record from Alexandria via LeMat-Bulk describes an optimized crystal structure of Rh2W. The functional is PBE-GGA.

abc: 5.0466 5.0466 5.0466
angles: 60.00 60.00 60.00
Closest atoms and distances in Å follow each position.
Element x y z (fractional)
Rh (0.1250, 0.6250, 0.1250)  6 Rh 2.52
Rh (0.1250, 0.1250, 0.6250)  6 Rh 2.52
Rh (0.6250, 0.1250, 0.1250)  6 Rh 2.52
Rh (0.1250, 0.1250, 0.1250)  6 Rh 2.52
W (0.7500, 0.7500, 0.7500)  12 Rh 2.96, 4 W 3.09
W (0.5000, 0.5000, 0.5000)  12 Rh 2.96, 4 W 3.09

Theoretical density, Mg/m³: 14.2
Crystal system: cubic
Energy relative to the elements, meV per atom: 270

Entry 4:
This record from Alexandria via LeMat-Bulk describes an optimized crystal structure of Cs3BeTe. The functional is PBE-GGA.

abc: 6.4179 6.4179 6.4179
angles: 90.00 90.00 90.00
Closest atoms and distances in Å follow each position.
Element x y z (fractional)
Cs (0.0000, 0.5000, 0.0000)  2 Be 3.21
Cs (0.0000, 0.0000, 0.5000)  2 Be 3.21
Cs (0.5000, 0.0000, 0.0000)  2 Be 3.21
Be (0.0000, 0.0000, 0.0000)  6 Cs 3.21
Te (0.5000, 0.5000, 0.5000)  12 Cs 4.54

Theoretical density, Mg/m³: 3.4
Crystal system: cubic
E_form (uncorrected), eV per formula unit: 0.821

Entry 5:
This record from Alexandria via LeMat-Bulk describes an optimized crystal structure of TaZn2Ag. The functional is PBE-GGA.

abc: 5.5968 5.5968 5.5968
angles: 151.51 125.65 62.50
Closest atoms and distances in Å follow each position.
Element x y z (fractional)
Ag (0.7500, 0.2500, 0.5000)  4 Zn 2.71, 2 Ag 2.75, 4 Ta 2.90
Ta (0.2500, 0.7500, 0.5000)  2 Ta 2.75, 4 Zn 2.81, 4 Ag 2.90
Zn (0.9943, 0.9943, 0.0000)  2 Ag 2.71, 6 Zn 2.75-2.91, 2 Ta 2.81
Zn (0.5057, 0.5057, 0.0000)  2 Ag 2.71, 6 Zn 2.75-2.91, 2 Ta 2.81

Theoretical density, Mg/m³: 10.3
Polymorph energy (0 for the lowest one), meV/atom: 268
Crystal system: orthorhombic
Energy relative to the elements, meV per atom: 254

Entry 6:
This record from Alexandria via LeMat-Bulk describes an optimized crystal structure of NdHoMnIn. The functional is PBE-GGA.

abc: 5.2741 5.2741 5.2741
angles: 60.00 60.00 60.00
Closest atoms and distances in Å follow each position.
Element x y z (fractional)
Mn (0.0000, 0.0000, 0.0000)  4 Nd 3.23, 4 Ho 3.23
Nd (0.7500, 0.7500, 0.7500)  4 Mn 3.23, 4 In 3.23
Ho (0.2500, 0.2500, 0.2500)  4 Mn 3.23, 4 In 3.23
In (0.5000, 0.5000, 0.5000)  4 Ho 3.23, 4 Nd 3.23

Theoretical density, Mg/m³: 7.7
Crystal system: cubic
Energy relative to the elements, meV per atom: -75

Entry 7:
This record from Alexandria via LeMat-Bulk describes an optimized crystal structure of OsRh8. The functional is PBE-GGA.

abc: 3.8369 6.0763 6.0763
angles: 84.28 71.60 71.60
Closest atoms and distances in Å follow each position.
Element x y z (fractional)
Os (0.0000, 0.0000, 0.0000)  12 Rh 2.69
Rh (0.3370, 0.0000, 0.3259)  10 Rh 2.66-2.78, 2 Os 2.69
Rh (0.6630, 0.0000, 0.6741)  10 Rh 2.66-2.78, 2 Os 2.69
Rh (0.6630, 0.6741, 0.0000)  10 Rh 2.66-2.78, 2 Os 2.69
Rh (0.0000, 0.6696, 0.3304)  1 Os 2.69, 11 Rh 2.70-2.77
Rh (0.3304, 0.6696, 0.6696)  1 Os 2.69, 11 Rh 2.70-2.77
Rh (0.6696, 0.3304, 0.3304)  1 Os 2.69, 11 Rh 2.70-2.77
Rh (0.0000, 0.3304, 0.6696)  1 Os 2.69, 11 Rh 2.70-2.77
Rh (0.3370, 0.3259, 0.0000)  10 Rh 2.66-2.78, 2 Os 2.69

Theoretical density, Mg/m³: 13.2
Crystal system: tetragonal
Energy relative to the elements, meV per atom: -1

Entry 8:
This record from Alexandria via LeMat-Bulk describes an optimized crystal structure of YSiH3. The functional is PBE-GGA.

abc: 3.6959 3.6959 3.6959
angles: 90.00 90.00 90.00
Closest atoms and distances in Å follow each position.
Element x y z (fractional)
Y (0.5000, 0.5000, 0.5000)  12 H 2.61
H (0.0000, 0.5000, 0.0000)  2 Si 1.85
H (0.0000, 0.0000, 0.5000)  2 Si 1.85
H (0.5000, 0.0000, 0.0000)  2 Si 1.85
Si (0.0000, 0.0000, 0.0000)  6 H 1.85

Theoretical density, Mg/m³: 3.9
Polymorph energy (0 for the lowest one), meV/atom: 0
Crystal system: cubic

Entry 9:
This record from Alexandria via LeMat-Bulk describes an optimized crystal structure of Hf4FePd. The functional is PBE-GGA.

abc: 3.1694 5.4941 13.3481
angles: 89.25 90.00 90.00
Closest atoms and distances in Å follow each position.
Element x y z (fractional)
Hf (0.4997, 0.1706, 0.3424)  2 Pd 2.79, 1 Fe 2.79, 5 Hf 3.05-3.10
Hf (0.9997, 0.3294, 0.1576)  2 Pd 2.79, 1 Fe 2.79, 5 Hf 3.05-3.10
Hf (0.5003, 0.8294, 0.6576)  2 Pd 2.79, 1 Fe 2.79, 5 Hf 3.05-3.10
Hf (0.0003, 0.6706, 0.8424)  2 Pd 2.79, 1 Fe 2.79, 5 Hf 3.05-3.10
Hf (0.9996, 0.6561, 0.3447)  2 Fe 2.74, 1 Pd 2.82
Hf (0.4996, 0.8439, 0.1553)  2 Fe 2.74, 1 Pd 2.82
Hf (0.0004, 0.3439, 0.6553)  2 Fe 2.74, 1 Pd 2.82
Hf (0.5004, 0.1561, 0.8447)  2 Fe 2.74, 1 Pd 2.82
Fe (0.5000, 0.5000, 0.5000)  6 Hf 2.74-2.79
Fe (0.0000, 0.0000, 0.0000)  6 Hf 2.74-2.79
Pd (0.0000, 0.0000, 0.5000)  6 Hf 2.79-2.82
Pd (0.5000, 0.5000, 0.0000)  6 Hf 2.79-2.82

Theoretical density, Mg/m³: 12.5
Polymorph energy (0 for the lowest one), meV/atom: 264
Crystal system: monoclinic
Energy relative to the elements, meV per atom: -76

Entry 10:
This record from Alexandria via LeMat-Bulk describes an optimized crystal structure of CaAgTe3. The functional is PBE-GGA.

abc: 5.4865 5.4865 5.4865
angles: 90.00 90.00 90.00
Closest atoms and distances in Å follow each position.
Element x y z (fractional)
Ca (0.5000, 0.5000, 0.5000)  12 Te 3.88
Te (0.0000, 0.5000, 0.0000)  2 Ag 2.74
Te (0.0000, 0.0000, 0.5000)  2 Ag 2.74
Te (0.5000, 0.0000, 0.0000)  2 Ag 2.74
Ag (0.0000, 0.0000, 0.0000)  6 Te 2.74

Theoretical density, Mg/m³: 5.3
Polymorph energy (0 for the lowest one), meV/atom: 0
Crystal system: cubic
E_form (uncorrected), eV per formula unit: -0.900

Entry 11:
This record from Alexandria via LeMat-Bulk describes an optimized crystal structure of VAg2Se4. The functional is PBE-GGA.

abc: 5.1183 5.1183 7.2856
angles: 69.44 69.44 90.00
Closest atoms and distances in Å follow each position.
Element x y z (fractional)
Se (0.1873, 0.1873, 0.6255)  1 V 2.37, 1 Ag 2.56
Se (0.8127, 0.8127, 0.3745)  1 V 2.37, 1 Ag 2.56
Se (0.0000, 0.5000, 0.0000)  2 V 2.56
Se (0.5000, 0.0000, 0.0000)  2 V 2.56
Ag (0.3894, 0.3894, 0.2213)  1 Se 2.56, 1 Ag 2.80
Ag (0.6106, 0.6106, 0.7787)  1 Se 2.56, 1 Ag 2.80
V (0.0000, 0.0000, 0.0000)  6 Se 2.37-2.56

Theoretical density, Mg/m³: 5.8
Polymorph energy (0 for the lowest one), meV/atom: 363
Crystal system: tetragonal
E_form (uncorrected), eV per formula unit: 0.456

Entry 12:
This record from Alexandria via LeMat-Bulk describes an optimized crystal structure of LaIn2Au. The functional is PBE-GGA.

abc: 4.8050 4.8288 4.8917
angles: 74.00 90.00 90.00
Closest atoms and distances in Å follow each position.
Element x y z (fractional)
Au (0.5000, 0.7500, 0.7500)  4 In 2.84, 2 La 2.93
In (0.0000, 0.9449, 0.9471)  2 Au 2.84, 3 In 3.04
In (0.0000, 0.5551, 0.5529)  2 Au 2.84, 3 In 3.04
La (0.5000, 0.2500, 0.2500)  2 Au 2.93

Theoretical density, Mg/m³: 8.6
Crystal system: monoclinic
Energy relative to the elements, meV per atom: -461

Entry 13:
This record from Alexandria via LeMat-Bulk describes an optimized crystal structure of RbHgICl. The functional is PBE-GGA.

abc: 5.7892 5.7892 5.7892
angles: 60.00 60.00 60.00
Closest atoms and distances in Å follow each position.
Element x y z (fractional)
I (0.0000, 0.0000, 0.0000)  4 Hg 3.55, 4 Cl 3.55
Hg (0.7500, 0.7500, 0.7500)  4 Rb 3.55, 4 I 3.55
Rb (0.5000, 0.5000, 0.5000)  4 Cl 3.55, 4 Hg 3.55
Cl (0.2500, 0.2500, 0.2500)  4 I 3.55, 4 Rb 3.55

Theoretical density, Mg/m³: 5.4
Crystal system: cubic
E_form (uncorrected), eV per formula unit: -2.714